# Pr4Y8Ho3 | Alexandria | PBE-GGA | optimized geometry
# - Magnetic moment: 0.001 μB per formula unit
# - Energy relative to the lowest polymorph listed for this composition: 0 meV/atom
# - Energy relative to the elements: 119.7 meV/atom
# - Electronic total energy: -5.52 eV/atom
data_Pr4Y8Ho3
_chemical_formula_sum 'Pr4 Y8 Ho3'
_cell_length_a 12.574
_cell_length_b 12.574
_cell_length_c 12.574
_cell_angle_alpha 32.39
_cell_angle_beta 32.39
_cell_angle_gamma 32.39
_symmetry_space_group_name_H-M 'P 1'
_symmetry_Int_Tables_number 1
loop_
_symmetry_equiv_pos_as_xyz
'x,y,z'
loop_
_atom_site_label
_atom_site_fract_x
_atom_site_fract_y
_atom_site_fract_z
_atom_site_occupancy
Pr1 0.000 0.000 0.000 1
Pr2 0.164 0.164 0.164 1
Pr3 0.500 0.500 0.500 1
Pr4 0.836 0.836 0.836 1
Y1 0.250 0.250 0.747 1
Y2 0.250 0.747 0.250 1
Y3 0.253 0.750 0.750 1
Y4 0.255 0.255 0.255 1
Y5 0.745 0.745 0.745 1
Y6 0.747 0.250 0.250 1
Y7 0.750 0.253 0.750 1
Y8 0.750 0.750 0.253 1
Ho1 0.000 0.500 0.500 1
Ho2 0.500 0.000 0.500 1
Ho3 0.500 0.500 0.000 1